[1]
DFT (PBE-GGA) results for NdNp4P5 after structural relaxation.

Output
Volume ... 22.7 A^3/atom
Electronic total energy ... -9.349 eV per atom
Spin magnetization ... 15.0 μB/cell

abc: 10.582 10.582 10.582
angles: 158.19 148.96 38.26
Positions (direct):
Nd (0.000, 0.000, 0.000)
Np (0.203, 0.203, 0.000)
Np (0.400, 0.400, 0.000)
Np (0.600, 0.600, 0.000)
Np (0.797, 0.797, 0.000)
P (0.107, 0.607, 0.500)
P (0.302, 0.802, 0.500)
P (0.500, 0.000, 0.500)
P (0.698, 0.198, 0.500)
P (0.893, 0.393, 0.500)

=====

[2]
DFT (PBE-GGA) results for La2TbNd5Sm after structural relaxation.

Output
Volume ... 35.3 A^3/atom
Electronic total energy ... -4.539 eV per atom
Spin magnetization ... 0.0 μB/cell

abc: 10.331 10.331 10.331
angles: 129.78 129.78 73.75
Positions (direct):
La (0.120, 0.620, 0.740)
La (0.380, 0.120, 0.500)
La (0.620, 0.880, 0.500)
La (0.880, 0.380, 0.260)
Tb (0.250, 0.750, 0.500)
Tb (0.750, 0.250, 0.500)
Nd (0.000, 0.000, 0.000)
Nd (0.075, 0.139, 0.500)
Nd (0.139, 0.639, 0.064)
Nd (0.361, 0.425, 0.500)
Nd (0.425, 0.925, 0.064)
Nd (0.500, 0.500, 0.000)
Nd (0.575, 0.075, 0.936)
Nd (0.639, 0.575, 0.500)
Nd (0.861, 0.361, 0.936)
Nd (0.925, 0.861, 0.500)
Sm (0.250, 0.250, 0.000)
Sm (0.750, 0.750, 0.000)

=====

[3]
DFT (PBE-GGA) results for Cr4CuRu after structural relaxation.

Output
Volume ... 12.3 A^3/atom
Electronic total energy ... -8.464 eV per atom
Spin magnetization ... 0.0 μB/cell

abc: 4.707 4.707 4.707
angles: 60.00 60.00 60.00
Positions (direct):
Cr (0.123, 0.123, 0.123)
Cr (0.123, 0.123, 0.632)
Cr (0.123, 0.632, 0.123)
Cr (0.632, 0.123, 0.123)
Cu (0.750, 0.750, 0.750)
Ru (0.500, 0.500, 0.500)

=====

[4]
DFT (PBE-GGA) results for RbReF3 after structural relaxation.

Output
Formation energy (no corrections) ... -125 kJ per mole of atoms
Relative energy among the computed polymorphs ... 0.000 eV/atom
Volume ... 16.0 A^3/atom
Electronic total energy ... -5.105 eV per atom
Spin magnetization ... 1.0 μB/cell

abc: 4.311 4.311 4.311
angles: 90.00 90.00 90.00
Positions (direct):
Rb (0.000, 0.000, 0.000)
Re (0.500, 0.500, 0.500)
F (0.000, 0.500, 0.500)
F (0.500, 0.000, 0.500)
F (0.500, 0.500, 0.000)

=====

[5]
DFT (PBE-GGA) results for Ce2PmIn after structural relaxation.

Output
Relative energy among the computed polymorphs ... 0.038 eV/atom
Volume ... 28.7 A^3/atom
Electronic total energy ... -5.004 eV per atom
Spin magnetization ... 2.7 μB/cell

abc: 6.738 6.738 6.738
angles: 118.75 110.05 100.14
Positions (direct):
Ce (0.322, 0.000, 0.822)
Ce (0.322, 0.500, 0.322)
Ce (0.678, 0.000, 0.178)
Ce (0.678, 0.500, 0.678)
Pm (0.188, 0.438, 0.750)
Pm (0.812, 0.562, 0.250)
In (0.197, 0.947, 0.250)
In (0.803, 0.053, 0.750)

=====

[6]
DFT (PBE-GGA) results for Ba2ZrSe3O after structural relaxation.

Output
Formation energy (no corrections) ... -203 kJ per mole of atoms
Volume ... 27.6 A^3/atom
Electronic total energy ... -6.075 eV per atom
Spin magnetization ... 0.0 μB/cell

abc: 9.237 9.237 9.237
angles: 153.64 146.38 43.22
Positions (direct):
Ba (0.147, 0.147, 0.000)
Ba (0.853, 0.853, 0.000)
Zr (0.500, 0.500, 0.000)
Se (0.000, 0.500, 0.500)
Se (0.338, 0.338, 0.000)
Se (0.662, 0.662, 0.000)
O (0.500, 0.000, 0.500)

=====

[7]
DFT (PBE-GGA) results for TbGePd3 after structural relaxation.

Output
Relative energy among the computed polymorphs ... 0.266 eV/atom
Volume ... 22.1 A^3/atom
Electronic total energy ... -5.410 eV per atom
Spin magnetization ... 0.0 μB/cell

abc: 8.969 8.969 8.969
angles: 146.32 146.32 48.37
Positions (direct):
Tb (0.134, 0.134, 0.000)
Tb (0.866, 0.866, 0.000)
Ge (0.250, 0.750, 0.500)
Ge (0.500, 0.500, 0.000)
Pd (0.373, 0.127, 0.754)
Pd (0.373, 0.619, 0.246)
Pd (0.381, 0.627, 0.754)
Pd (0.535, 0.035, 0.500)
Pd (0.873, 0.627, 0.246)
Pd (0.965, 0.465, 0.500)

=====

[8]
DFT (PBE-GGA) results for SrPaP2Ir4 after structural relaxation.

Output
Volume ... 20.0 A^3/atom
Electronic total energy ... -7.989 eV per atom
Spin magnetization ... 0.0 μB/cell

abc: 4.050 4.050 9.757
angles: 90.00 90.00 90.00
Positions (direct):
Sr (0.000, 0.000, 0.000)
Pa (0.000, 0.000, 0.500)
P (0.500, 0.500, 0.175)
P (0.500, 0.500, 0.825)
Ir (0.000, 0.500, 0.292)
Ir (0.000, 0.500, 0.708)
Ir (0.500, 0.000, 0.292)
Ir (0.500, 0.000, 0.708)

=====

[9]
DFT (PBE-GGA) results for Pm2HoPb2 after structural relaxation.

Output
Relative energy among the computed polymorphs ... 0.000 eV/atom
Volume ... 31.0 A^3/atom
Electronic total energy ... -4.814 eV per atom
Spin magnetization ... 0.0 μB/cell

abc: 8.259 8.259 4.541
angles: 90.00 90.00 90.00
Positions (direct):
Pm (0.168, 0.332, 0.000)
Pm (0.332, 0.832, 0.000)
Pm (0.668, 0.168, 0.000)
Pm (0.832, 0.668, 0.000)
Ho (0.000, 0.000, 0.500)
Ho (0.500, 0.500, 0.500)
Pb (0.137, 0.637, 0.500)
Pb (0.363, 0.137, 0.500)
Pb (0.637, 0.863, 0.500)
Pb (0.863, 0.363, 0.500)

=====

[10]
DFT (PBE-GGA) results for Cd3HgAu after structural relaxation.

Output
Relative energy among the computed polymorphs ... 0.000 eV/atom
Volume ... 22.9 A^3/atom
Electronic total energy ... -1.312 eV per atom
Spin magnetization ... 0.0 μB/cell

abc: 5.508 5.508 8.642
angles: 98.81 98.81 114.52
Positions (direct):
Cd (0.048, 0.651, 0.800)
Cd (0.296, 0.296, 0.598)
Cd (0.349, 0.952, 0.200)
Cd (0.651, 0.048, 0.800)
Cd (0.704, 0.704, 0.402)
Cd (0.952, 0.349, 0.200)
Hg (0.248, 0.248, 0.943)
Hg (0.752, 0.752, 0.057)
Au (0.248, 0.752, 0.500)
Au (0.752, 0.248, 0.500)

=====

[11]
DFT (PBE-GGA) results for Zr3TlFe after structural relaxation.

Output
Relative energy among the computed polymorphs ... 0.000 eV/atom
Volume ... 21.2 A^3/atom
Electronic total energy ... -7.371 eV per atom
Spin magnetization ... 0.0 μB/cell

abc: 7.765 3.813 7.982
angles: 90.00 116.18 90.00
Positions (direct):
Zr (0.025, 0.250, 0.212)
Zr (0.324, 0.750, 0.578)
Zr (0.331, 0.250, 0.897)
Zr (0.669, 0.750, 0.103)
Zr (0.676, 0.250, 0.422)
Zr (0.975, 0.750, 0.788)
Tl (0.329, 0.750, 0.199)
Tl (0.671, 0.250, 0.801)
Fe (0.048, 0.250, 0.584)
Fe (0.952, 0.750, 0.416)

=====

[12]
DFT (PBE-GGA) results for Na2GePdN after structural relaxation.

Output
Formation energy (no corrections) ... 24 kJ per mole of atoms
Volume ... 18.1 A^3/atom
Electronic total energy ... -3.908 eV per atom
Spin magnetization ... 0.0 μB/cell

abc: 4.849 4.849 3.854
angles: 90.00 90.00 90.00
Positions (direct):
Na (0.000, 0.500, 0.000)
Na (0.500, 0.000, 0.000)
Ge (0.000, 0.000, 0.500)
Pd (0.500, 0.500, 0.500)
N (0.500, 0.500, 0.000)